No. 1
First-principles (GGA-PBE) data for crystalline KPr2Er at its relaxed geometry, as listed in Alexandria.

Cell lengths 3.6677, 3.6677, 40.4253 Å; angles 90.00, 90.00, 120.00 degrees
Space group R-3m (No. 166, hexagonal axes)
One atom of each set of equivalent atoms:
K 0.0000 0.0000 0.0000 [3 per cell]
Pr 0.0000 0.0000 0.0961 [6 per cell]
Er 0.0000 0.0000 0.5000 [3 per cell]

The calculation puts the volume at 39.24 Å³/atom. As for the formation energy: 0.18 eV/atom.

---

No. 2
First-principles (GGA-PBE) data for crystalline Na6Tl5Sn at its relaxed geometry, as listed in Alexandria.

Cell lengths 10.8469, 14.4945, 4.7925 Å; angles 90.00, 116.00, 90.00 degrees
Space group C2/m (No. 12)
One atom of each set of equivalent atoms:
Na 0.2445 0.0000 0.2442 [4 per cell]
Na 0.2463 0.1660 0.7462 [8 per cell]
Tl 0.0000 0.1602 0.0000 [4 per cell]
Tl 0.0000 0.3380 0.5000 [4 per cell]
Tl 0.0000 0.5000 0.0000 [2 per cell]
Sn 0.0000 0.0000 0.5000 [2 per cell]

The calculation puts the volume at 28.22 Å³/atom. As for the formation energy: -0.11 eV/atom.

---

No. 3
First-principles (GGA-PBE) data for crystalline TbEr2UC4 at its relaxed geometry, as listed in Alexandria.

Cell lengths 6.1370, 3.5712, 6.1589 Å; angles 90.00, 110.08, 90.00 degrees
Space group P2/m (No. 10)
One atom of each set of equivalent atoms:
Tb 0.0000 0.0000 0.0000 [1 per cell]
Er 0.5000 0.0000 0.5000 [1 per cell]
Er 0.5000 0.5000 0.0000 [1 per cell]
U 0.0000 0.5000 0.5000 [1 per cell]
C 0.2258 0.0000 0.7232 [2 per cell]
C 0.2378 0.5000 0.2676 [2 per cell]

The calculation puts the volume at 15.85 Å³/atom. As for the formation energy: -0.22 eV/atom.

---

No. 4
First-principles (GGA-PBE) data for crystalline Cr2PtW at its relaxed geometry, as listed in Alexandria.

Cell lengths 8.8810, 2.6497, 4.8113 Å; angles 90.00, 98.60, 90.00 degrees
Space group C2/m (No. 12)
One atom of each set of equivalent atoms:
Cr 0.2444 0.0000 0.2456 [4 per cell]
Pt 0.0000 0.5000 0.0000 [2 per cell]
W 0.0000 0.0000 0.5000 [2 per cell]

The calculation puts the volume at 13.99 Å³/atom. As for the formation energy: 0.12 eV/atom. The value obtained for the energy above the lowest structure with this stoichiometry is 123.5 meV per atom.

---

No. 5
First-principles (GGA-PBE) data for crystalline SrTaNiN3 at its relaxed geometry, as listed in Alexandria.

Cell lengths 6.9039, 3.2398, 7.5969 Å; angles 90.00, 107.61, 90.00 degrees
Space group P2_1/m (No. 11)
One atom of each set of equivalent atoms:
Sr 0.2145 0.2500 0.2369 [2 per cell]
Ta 0.3210 0.7500 0.8597 [2 per cell]
Ni 0.0989 0.2500 0.5909 [2 per cell]
N 0.1332 0.2500 0.8660 [2 per cell]
N 0.2140 0.7500 0.5417 [2 per cell]
N 0.4572 0.7500 0.1403 [2 per cell]

The calculation puts the volume at 13.50 Å³/atom. For the uncorrected formation energy, the calculation gives -632 meV per atom.

---

No. 6
First-principles (GGA-PBE) data for crystalline InHg2Sb at its relaxed geometry, as listed in Alexandria.

Cell lengths 3.3646, 3.3646, 9.2875 Å; angles 90.00, 90.00, 90.00 degrees
Space group P4/mmm (No. 123)
One atom of each set of equivalent atoms:
In 0.0000 0.0000 0.0000 [1 per cell]
Hg 0.5000 0.5000 0.2439 [2 per cell]
Sb 0.0000 0.0000 0.5000 [1 per cell]

The calculation puts the volume at 26.28 Å³/atom. For the uncorrected formation energy, the calculation gives 96 meV per atom.

---

No. 7
First-principles (GGA-PBE) data for crystalline Pm12PrSi4 at its relaxed geometry, as listed in Alexandria.

Cell lengths 10.5173, 10.5173, 10.5173 Å; angles 90.00, 90.00, 90.00 degrees
Space group Im-3 (No. 204)
One atom of each set of equivalent atoms:
Pm 0.0000 0.3255 0.1695 [24 per cell]
Pr 0.0000 0.0000 0.0000 [2 per cell]
Si 0.2500 0.2500 0.2500 [8 per cell]

The calculation puts the volume at 34.22 Å³/atom. For the uncorrected formation energy, the calculation gives -31 meV per atom.

---

No. 8
First-principles (GGA-PBE) data for crystalline BMoPt2 at its relaxed geometry, as listed in Alexandria.

Cell lengths 5.2595, 5.2595, 10.3061 Å; angles 90.00, 90.00, 90.00 degrees
Space group I-42d (No. 122)
One atom of each set of equivalent atoms:
B 0.0000 0.0000 0.0000 [4 per cell]
Mo 0.0000 0.0000 0.5000 [4 per cell]
Pt 0.1798 0.2500 0.1250 [8 per cell]

The calculation puts the volume at 17.82 Å³/atom. As for the formation energy: 0.41 eV/atom.

---

No. 9
First-principles (GGA-PBE) data for crystalline CaEuF at its relaxed geometry, as listed in Alexandria.

Cell lengths 3.4660, 3.4660, 14.0663 Å; angles 90.00, 90.00, 90.00 degrees
Space group I4mm (No. 107)
One atom of each set of equivalent atoms:
Ca 0.0000 0.0000 0.0000 [2 per cell]
Eu 0.0000 0.0000 0.2746 [2 per cell]
F 0.0000 0.0000 0.4792 [2 per cell]

The calculation puts the volume at 28.16 Å³/atom. The value obtained for the energy above the lowest structure with this stoichiometry is 50.1 meV per atom. For the uncorrected formation energy, the calculation gives -1595 meV per atom.

---

No. 10
First-principles (GGA-PBE) data for crystalline Zr2CuCl at its relaxed geometry, as listed in Alexandria.

Cell lengths 3.2529, 4.3797, 5.5222 Å; angles 90.00, 90.00, 90.00 degrees
Space group Pmmm (No. 47)
One atom of each set of equivalent atoms:
Zr 0.0000 0.0000 0.0000 [1 per cell]
Zr 0.5000 0.0000 0.5000 [1 per cell]
Cu 0.0000 0.5000 0.5000 [1 per cell]
Cl 0.5000 0.5000 0.0000 [1 per cell]

The calculation puts the volume at 19.67 Å³/atom. The value obtained for the energy above the lowest structure with this stoichiometry is 359.8 meV per atom. For the uncorrected formation energy, the calculation gives -32 meV per atom.

---

No. 11
First-principles (GGA-PBE) data for crystalline Sc2BiSe at its relaxed geometry, as listed in Alexandria.

Cell lengths 6.3718, 6.3718, 12.7892 Å; angles 90.00, 90.00, 90.00 degrees
Space group I-42d (No. 122)
One atom of each set of equivalent atoms:
Sc 0.2187 0.2500 0.1250 [8 per cell]
Bi 0.0000 0.0000 0.5000 [4 per cell]
Se 0.0000 0.0000 0.0000 [4 per cell]

The calculation puts the volume at 32.45 Å³/atom. The value obtained for the energy above the lowest structure with this stoichiometry is 371.7 meV per atom. For the uncorrected formation energy, the calculation gives -735 meV per atom.

---

No. 12
First-principles (GGA-PBE) data for crystalline LiPmZn at its relaxed geometry, as listed in Alexandria.

Cell lengths 9.7359, 4.9324, 7.3209 Å; angles 90.00, 131.21, 90.00 degrees
Space group C2/m (No. 12)
One atom of each set of equivalent atoms:
Li 0.1081 0.0000 0.2522 [4 per cell]
Pm 0.2345 0.0000 0.7976 [4 per cell]
Zn 0.0320 0.5000 0.3558 [4 per cell]

The calculation puts the volume at 22.04 Å³/atom. As for the formation energy: -0.14 eV/atom. The value obtained for the energy above the lowest structure with this stoichiometry is 0.0 meV per atom.

---

No. 13
First-principles (GGA-PBE) data for crystalline NaTlAg2H at its relaxed geometry, as listed in Alexandria.

Cell lengths 4.3625, 4.3625, 4.6364 Å; angles 90.00, 90.00, 90.00 degrees
Space group P4/mmm (No. 123)
One atom of each set of equivalent atoms:
Na 0.0000 0.0000 0.0000 [1 per cell]
Tl 0.5000 0.5000 0.0000 [1 per cell]
Ag 0.0000 0.5000 0.5000 [2 per cell]
H 0.0000 0.0000 0.5000 [1 per cell]

The calculation puts the volume at 17.65 Å³/atom. The value obtained for the energy above the lowest structure with this stoichiometry is 0.0 meV per atom.

---

No. 14
First-principles (GGA-PBE) data for crystalline DyScInAu at its relaxed geometry, as listed in Alexandria.

Cell lengths 7.1896, 7.1896, 7.1896 Å; angles 90.00, 90.00, 90.00 degrees
Space group F-43m (No. 216)
One atom of each set of equivalent atoms:
Dy 0.0000 0.0000 0.0000 [4 per cell]
Sc 0.0000 0.0000 0.5000 [4 per cell]
In 0.2500 0.2500 0.2500 [4 per cell]
Au 0.2500 0.2500 0.7500 [4 per cell]

The calculation puts the volume at 23.23 Å³/atom. As for the formation energy: -0.59 eV/atom. The value obtained for the energy above the lowest structure with this stoichiometry is 59.3 meV per atom.

---

No. 15
First-principles (GGA-PBE) data for crystalline La2ScTa at its relaxed geometry, as listed in Alexandria.

Cell lengths 3.3298, 3.3298, 33.5393 Å; angles 90.00, 90.00, 120.00 degrees
Space group R3m (No. 160, hexagonal axes)
One atom of each set of equivalent atoms:
La 0.0000 0.0000 0.0000 [3 per cell]
La 0.0000 0.0000 0.2388 [3 per cell]
Sc 0.0000 0.0000 0.4808 [3 per cell]
Ta 0.0000 0.0000 0.7452 [3 per cell]

The calculation puts the volume at 26.84 Å³/atom. As for the formation energy: 0.36 eV/atom. The value obtained for the energy above the lowest structure with this stoichiometry is 92.6 meV per atom.

---

No. 16
First-principles (GGA-PBE) data for crystalline CaBeSe2N at its relaxed geometry, as listed in Alexandria.

Cell lengths 5.4783, 5.4783, 4.4616 Å; angles 90.00, 90.00, 90.00 degrees
Space group P4/mmm (No. 123)
One atom of each set of equivalent atoms:
Ca 0.0000 0.0000 0.0000 [1 per cell]
Be 0.5000 0.5000 0.5000 [1 per cell]
Se 0.0000 0.5000 0.0000 [2 per cell]
N 0.0000 0.0000 0.5000 [1 per cell]

The calculation puts the volume at 26.78 Å³/atom. The value obtained for the energy above the lowest structure with this stoichiometry is 1383.0 meV per atom. For the uncorrected formation energy, the calculation gives 1090 meV per atom.

---

No. 17
First-principles (GGA-PBE) data for crystalline TbY14Zr at its relaxed geometry, as listed in Alexandria.

Cell lengths 7.1020, 7.1020, 9.9805 Å; angles 90.00, 90.00, 90.00 degrees
Space group P4/mmm (No. 123)
One atom of each set of equivalent atoms:
Tb 0.0000 0.0000 0.0000 [1 per cell]
Y 0.0000 0.0000 0.5000 [1 per cell]
Y 0.0000 0.5000 0.0000 [2 per cell]
Y 0.0000 0.5000 0.5000 [2 per cell]
Y 0.2549 0.2549 0.2438 [8 per cell]
Y 0.5000 0.5000 0.5000 [1 per cell]
Zr 0.5000 0.5000 0.0000 [1 per cell]

The calculation puts the volume at 31.46 Å³/atom. As for the formation energy: 0.04 eV/atom.

---

No. 18
First-principles (GGA-PBE) data for crystalline Gd2TlCu at its relaxed geometry, as listed in Alexandria.

Cell lengths 3.8378, 3.8378, 25.9235 Å; angles 90.00, 90.00, 120.00 degrees
Space group R-3m (No. 166, hexagonal axes)
One atom of each set of equivalent atoms:
Gd 0.0000 0.0000 0.2378 [6 per cell]
Tl 0.0000 0.0000 0.0000 [3 per cell]
Cu 0.0000 0.0000 0.5000 [3 per cell]

The calculation puts the volume at 27.56 Å³/atom. As for the formation energy: -0.13 eV/atom.

---

No. 19
First-principles (GGA-PBE) data for crystalline ZnCuPt2 at its relaxed geometry, as listed in Alexandria.

Cell lengths 3.8156, 3.8156, 17.6220 Å; angles 90.00, 90.00, 90.00 degrees
Space group I-42d (No. 122)
One atom of each set of equivalent atoms:
Zn 0.0000 0.0000 0.0000 [4 per cell]
Cu 0.0000 0.0000 0.5000 [4 per cell]
Pt 0.2464 0.2500 0.6250 [8 per cell]

The calculation puts the volume at 16.04 Å³/atom. As for the formation energy: -0.01 eV/atom.

---

No. 20
First-principles (GGA-PBE) data for crystalline Ti2In2N at its relaxed geometry, as listed in Alexandria.

Cell lengths 3.1572, 3.1572, 29.2454 Å; angles 90.00, 90.00, 120.00 degrees
Space group R-3m (No. 166, hexagonal axes)
One atom of each set of equivalent atoms:
Ti 0.0000 0.0000 0.2032 [6 per cell]
In 0.0000 0.0000 0.0490 [6 per cell]
N 0.0000 0.0000 0.5000 [3 per cell]

The calculation puts the volume at 16.84 Å³/atom. For the uncorrected formation energy, the calculation gives -808 meV per atom.